# BaCaN (GGA-PBE, optimized geometry)
# Formation energy from raw total energies: -0.519 eV per atom
# Final energy: -55.22 eV/cell
# Relative energy among the computed polymorphs: 0.0 meV per atom
data_BaCaN
_cell_length_a 6.6211
_cell_length_b 3.8218
_cell_length_c 14.2415
_cell_angle_alpha 90.00
_cell_angle_beta 98.72
_cell_angle_gamma 90.00
_space_group_name_H-M_alt 'C 1 2/m 1'
_space_group_IT_number 12
loop_
_space_group_symop_operation_xyz
'x,y,z'
'-x,-y,-z'
'-x,y,-z'
'x,-y,z'
'x+1/2,y+1/2,z'
'-x+1/2,-y+1/2,-z'
'-x+1/2,y+1/2,-z'
'x+1/2,-y+1/2,z'
loop_
_atom_site_label
_atom_site_fract_x
_atom_site_fract_y
_atom_site_fract_z
Ba1 0.2212 0.0000 0.1657
Ca1 0.1190 0.5000 0.3634
N1 0.0762 0.0000 0.7242



# Ba3CaN (GGA-PBE, optimized geometry)
# Formation energy from raw total energies: -0.077 eV per atom
# Final energy: -16.48 eV/cell
# Relative energy among the computed polymorphs: 0.0 meV per atom
data_Ba3CaN
_cell_length_a 5.8709
_cell_length_b 5.8709
_cell_length_c 5.8709
_cell_angle_alpha 90.00
_cell_angle_beta 90.00
_cell_angle_gamma 90.00
_space_group_name_H-M_alt 'P m -3 m'
_space_group_IT_number 221
_space_group_name_Hall '-P 4 2 3'
loop_
_atom_site_label
_atom_site_fract_x
_atom_site_fract_y
_atom_site_fract_z
Ba1 0.0000 0.0000 0.5000
Ca1 0.5000 0.5000 0.5000
N1 0.0000 0.0000 0.0000



# Ba2CaN (GGA-PBE, optimized geometry)
# Formation energy from raw total energies: 0.019 eV per atom
# Final energy: -56.38 eV/cell
data_Ba2CaN
_cell_length_a 8.2960
_cell_length_b 8.2960
_cell_length_c 10.2819
_cell_angle_alpha 90.00
_cell_angle_beta 90.00
_cell_angle_gamma 90.00
_space_group_name_H-M_alt 'I -4 2 d'
_space_group_IT_number 122
_space_group_name_Hall 'I -4 2bw'
loop_
_atom_site_label
_atom_site_fract_x
_atom_site_fract_y
_atom_site_fract_z
Ba1 0.1091 0.2500 0.1250
Ca1 0.0000 0.0000 0.5000
N1 0.0000 0.0000 0.0000



# BaCaN2 (GGA-PBE, optimized geometry)
# Formation energy from raw total energies: 0.062 eV per atom
# Final energy: -81.30 eV/cell
data_BaCaN2
_cell_length_a 5.5833
_cell_length_b 5.5833
_cell_length_c 12.4178
_cell_angle_alpha 90.00
_cell_angle_beta 90.00
_cell_angle_gamma 90.00
_space_group_name_H-M_alt 'I -4 2 d'
_space_group_IT_number 122
_space_group_name_Hall 'I -4 2bw'
loop_
_atom_site_label
_atom_site_fract_x
_atom_site_fract_y
_atom_site_fract_z
Ba1 0.0000 0.0000 0.0000
Ca1 0.0000 0.0000 0.5000
N1 0.2069 0.2500 0.6250



# Ba2CaN (GGA-PBE, optimized geometry)
# Formation energy from raw total energies: -0.229 eV per atom
# Final energy: -45.26 eV/cell
data_Ba2CaN
_cell_length_a 3.9881
_cell_length_b 3.9881
_cell_length_c 33.6772
_cell_angle_alpha 90.00
_cell_angle_beta 90.00
_cell_angle_gamma 120.00
_space_group_name_H-M_alt 'R -3 m'
_space_group_IT_number 166
_space_group_name_Hall '-R 3 2"'
loop_
_atom_site_label
_atom_site_fract_x
_atom_site_fract_y
_atom_site_fract_z
Ba1 0.0000 0.0000 0.1214
Ca1 0.0000 0.0000 0.0000
N1 0.0000 0.0000 0.5000



# BaCaN2 (GGA-PBE, optimized geometry)
# Formation energy from raw total energies: 0.204 eV per atom
# Final energy: -79.03 eV/cell
data_BaCaN2
_cell_length_a 6.5661
_cell_length_b 6.5661
_cell_length_c 6.5661
_cell_angle_alpha 90.00
_cell_angle_beta 90.00
_cell_angle_gamma 90.00
_space_group_name_H-M_alt 'F m -3 m'
_space_group_IT_number 225
_space_group_name_Hall '-F 4 2 3'
loop_
_atom_site_label
_atom_site_fract_x
_atom_site_fract_y
_atom_site_fract_z
Ba1 0.0000 0.0000 0.0000
Ca1 0.0000 0.0000 0.5000
N1 0.2500 0.2500 0.2500